1:
Below is crystalline Rb2LiVO4 at its relaxed geometry, with properties calculated at the GGA+U level.

Output
Crystal system ... orthorhombic
N(E_F) ... 0.00 states/eV/cell
Symmetry ... Fddd

```
Rb2LiVO4
1.0
-1.610 -3.967 2.421
4.822 -3.270 2.845
-1.980 3.691 9.726
Rb O Li V
4 8 2 2
Direct
0.172 0.000 0.656
0.828 0.000 0.344
0.922 0.500 0.156
0.578 0.500 0.844
0.158 0.334 0.408
0.592 0.166 0.092
0.849 0.834 0.908
0.507 0.334 0.592
0.317 0.834 0.092
0.901 0.666 0.592
0.433 0.666 0.408
0.243 0.166 0.908
0.750 0.500 0.500
0.000 0.000 0.000
0.250 0.500 0.500
0.500 0.000 0.000
```

---

2:
Below is crystalline Rb2LiVO4 at its relaxed geometry, with properties calculated at the GGA+U level.

Output
Crystal system ... orthorhombic
N(E_F) ... 0.00 states/eV/cell
Symmetry ... Cmc2_1

```
Rb2LiVO4
1.0
-5.128 3.542 2.427
-0.267 -6.038 -2.864
1.012 -3.443 7.165
Rb O V Li
4 8 2 2
Direct
0.604 0.396 0.051
0.396 0.604 0.551
0.937 0.063 0.909
0.063 0.937 0.409
0.408 0.115 0.717
0.365 0.635 0.909
0.885 0.592 0.717
0.836 0.164 0.578
0.115 0.408 0.217
0.635 0.365 0.409
0.592 0.885 0.217
0.164 0.836 0.078
0.691 0.309 0.611
0.309 0.691 0.111
0.799 0.201 0.329
0.201 0.799 0.829
```

---

The structure with the most favorable energy is 2; the runner-up is 74 meV/atom above it.